A plane-wave DFT calculation with PBE was carried out for an optimized crystal structure of Ce2Nb2O7.

abc: 7.523 7.523 7.523
angles: 60.00 60.00 60.00
Fractional positions:
1 Nb 0.125 0.625 0.125
2 Nb 0.125 0.125 0.125
3 Nb 0.625 0.125 0.125
4 Nb 0.125 0.125 0.625
5 O 0.211 0.211 0.789
6 O 0.500 0.500 0.500
7 O 0.211 0.789 0.211
8 O 0.211 0.789 0.789
9 O 0.461 0.039 0.039
10 O 0.039 0.039 0.461
11 O 0.789 0.211 0.789
12 O 0.789 0.789 0.211
13 O 0.750 0.750 0.750
14 O 0.789 0.211 0.211
15 O 0.039 0.461 0.039
16 O 0.039 0.461 0.461
17 O 0.461 0.461 0.039
18 O 0.461 0.039 0.461
19 Ce 0.625 0.125 0.625
20 Ce 0.125 0.625 0.625
21 Ce 0.625 0.625 0.625
22 Ce 0.625 0.625 0.125

Summary:
As for the uncorrected formation energy: -3036 kJ/mol of formula units. As for the magnetic moment: 4.04 μB/f.u. For the uncorrected energy, the calculation gives -0.3280 Ha/atom. The density of states at the Fermi level is 1.43 states/eV/atom.